DFT (PBE) results for a relaxed structure of YCuH2O4.

Lattice parameters (Å, degrees): 4.6987 4.6752 4.6752 70.80 59.83 59.83
Fractional positions:
Y  0.0000  0.0000  0.0000
Cu  0.5000  0.5000  0.5000
H  0.1957  0.3043  0.3043
H  0.8043  0.6957  0.6957
O  0.4218  0.1857  0.4138
O  0.0213  0.8143  0.5862
O  0.9787  0.4138  0.1857
O  0.5782  0.5862  0.8143

Computed properties:
VASP energy   -6.1249 eV/atom
Crystal system   orthorhombic
SG   I222